1.
# LiGdTmMn (PBE, optimized geometry)
# crystal system = cubic
# size of the total moment = 9.51 μB per cell
data_LiGdTmMn
_chemical_formula_sum 'Li1 Gd1 Tm1 Mn1'
_cell_length_a 5.0007
_cell_length_b 5.0007
_cell_length_c 5.0007
_cell_angle_alpha 60.00
_cell_angle_beta 60.00
_cell_angle_gamma 60.00
_symmetry_space_group_name_H-M 'P 1'
_symmetry_Int_Tables_number 1
loop_
_symmetry_equiv_pos_as_xyz
'x,y,z'
loop_
_atom_site_label
_atom_site_type_symbol
_atom_site_fract_x
_atom_site_fract_y
_atom_site_fract_z
Li1 Li 0.0000 0.0000 0.0000
Gd1 Gd 0.2500 0.2500 0.2500
Tm1 Tm 0.7500 0.7500 0.7500
Mn1 Mn 0.5000 0.5000 0.5000


2.
# LiGdZrMn (PBE, optimized geometry)
# crystal system = cubic
# size of the total moment = 8.22 μB per cell
data_LiGdZrMn
_chemical_formula_sum 'Li1 Gd1 Zr1 Mn1'
_cell_length_a 4.7747
_cell_length_b 4.7747
_cell_length_c 4.7747
_cell_angle_alpha 60.00
_cell_angle_beta 60.00
_cell_angle_gamma 60.00
_symmetry_space_group_name_H-M 'P 1'
_symmetry_Int_Tables_number 1
loop_
_symmetry_equiv_pos_as_xyz
'x,y,z'
loop_
_atom_site_label
_atom_site_type_symbol
_atom_site_fract_x
_atom_site_fract_y
_atom_site_fract_z
Li1 Li 0.0000 0.0000 0.0000
Gd1 Gd 0.7500 0.7500 0.7500
Zr1 Zr 0.2500 0.2500 0.2500
Mn1 Mn 0.5000 0.5000 0.5000


Calculated V, 22.1 19.2 Å³ per atom (same order as the records).
Calculated D(E_F), 1.051 0.865 states/eV per atom (same order as the records).
Calculated ΔE_f, 0.139 0.167 eV/atom (same order as the records).